No. 1
# TbNdTh2P4

A relaxed structure of TbNdTh2P4 (PBE, Alexandria).

Values from the calculation:
Theoretical density   7.5 g/cm3
Calculated total energy   -58.46 eV per cell

POSCAR file:
```
TbNdTh2P4
1.0
7.1169 0.0000 0.0000
0.0000 4.1300 0.0000
-2.4043 0.0000 6.7380
Tb Nd Th P
1 1 2 4
direct
0.0000 0.0000 0.0000
0.0000 0.5000 0.5000
0.5000 0.0000 0.5000
0.5000 0.5000 0.0000
0.2481 0.5000 0.2458
0.2510 0.0000 0.7539
0.7490 0.0000 0.2461
0.7519 0.5000 0.7542
```


No. 2
# Tb2NdTh3P6

A relaxed structure of Tb2NdTh3P6 (PBE, Alexandria).

Values from the calculation:
Theoretical density   7.6 g/cm3
Calculated total energy   -87.69 eV per cell

POSCAR file:
```
Tb2NdTh3P6
1.0
3.5705 -6.1746 0.0000
3.5705 6.1746 0.0000
-2.3797 0.0000 6.6791
Tb Nd Th P
2 1 3 6
direct
0.1670 0.8330 0.0000
0.8330 0.1670 0.0000
0.5000 0.5000 0.0000
0.0000 0.0000 0.5000
0.3342 0.6658 0.5000
0.6658 0.3342 0.5000
0.0792 0.4173 0.7518
0.2441 0.2441 0.2471
0.4173 0.0792 0.7518
0.5827 0.9208 0.2482
0.7559 0.7559 0.7529
0.9208 0.5827 0.2482
```


No. 3
# Tb2NdThP4

A relaxed structure of Tb2NdThP4 (PBE, Alexandria).

Values from the calculation:
Theoretical density   7.0 g/cm3
Calculated total energy   -55.88 eV per cell

POSCAR file:
```
Tb2NdThP4
1.0
7.0711 0.0000 0.0000
0.0000 4.0982 0.0000
-2.3644 0.0000 6.6863
Tb Nd Th P
2 1 1 4
direct
0.0000 0.0000 0.0000
0.0000 0.5000 0.5000
0.5000 0.0000 0.5000
0.5000 0.5000 0.0000
0.2434 0.5000 0.2452
0.2440 0.0000 0.7498
0.7560 0.0000 0.2502
0.7566 0.5000 0.7548
```


No. 4
# TbNdTm2P4

A relaxed structure of TbNdTm2P4 (PBE, Alexandria).

Values from the calculation:
Theoretical density   6.9 g/cm3
Calculated total energy   -52.62 eV per cell

POSCAR file:
```
TbNdTm2P4
1.0
6.9661 0.0000 0.0000
0.0000 4.0270 0.0000
-2.3248 0.0000 6.5719
Tb Nd Tm P
1 1 2 4
direct
0.0000 0.0000 0.0000
0.0000 0.5000 0.5000
0.5000 0.0000 0.5000
0.5000 0.5000 0.0000
0.2577 0.5000 0.2489
0.2606 0.0000 0.7573
0.7394 0.0000 0.2427
0.7423 0.5000 0.7511
```


No. 5
# Tb2NdUP4

A relaxed structure of Tb2NdUP4 (PBE, Alexandria).

Values from the calculation:
Theoretical density   7.4 g/cm3
Calculated total energy   -58.30 eV per cell

POSCAR file:
```
Tb2NdUP4
1.0
-2.8532 2.8532 5.7076
2.8532 -2.8532 5.7076
2.8532 2.8532 -5.7076
Tb Nd U P
2 1 1 4
direct
0.0000 0.0000 0.0000
0.7500 0.2500 0.5000
0.2500 0.7500 0.5000
0.5000 0.5000 0.0000
0.2579 0.2579 0.0000
0.5033 0.0033 0.5000
0.7421 0.7421 0.0000
0.9967 0.4967 0.5000
```


No. 6
# Tb3NdY2P6

A relaxed structure of Tb3NdY2P6 (PBE, Alexandria).

Values from the calculation:
Theoretical density   5.8 g/cm3
Calculated total energy   -83.24 eV per cell

POSCAR file:
```
Tb3NdY2P6
1.0
3.5053 -6.0708 0.0000
3.5053 6.0708 0.0000
-2.3356 0.0000 6.6119
Tb Nd Y P
3 1 2 6
direct
0.0000 0.0000 0.0000
0.3342 0.6658 0.0000
0.6658 0.3342 0.0000
0.5000 0.5000 0.5000
0.1669 0.8331 0.5000
0.8331 0.1669 0.5000
0.0778 0.4158 0.2475
0.2459 0.2459 0.7520
0.4158 0.0778 0.2475
0.5842 0.9222 0.7525
0.7541 0.7541 0.2480
0.9222 0.5842 0.7525
```


No. 7
# Tb2NdY3P6

A relaxed structure of Tb2NdY3P6 (PBE, Alexandria).

Values from the calculation:
Theoretical density   5.4 g/cm3
Calculated total energy   -85.12 eV per cell

POSCAR file:
```
Tb2NdY3P6
1.0
3.5035 -6.0676 0.0000
3.5035 6.0676 0.0000
-2.3342 0.0000 6.6063
Tb Nd Y P
2 1 3 6
direct
0.1669 0.8331 0.0000
0.8331 0.1669 0.0000
0.5000 0.5000 0.0000
0.0000 0.0000 0.5000
0.3342 0.6658 0.5000
0.6658 0.3342 0.5000
0.0776 0.4155 0.7465
0.2465 0.2465 0.2531
0.4155 0.0776 0.7465
0.5845 0.9224 0.2535
0.7535 0.7535 0.7469
0.9224 0.5845 0.2535
```


No. 8
# TbNd2YP4

A relaxed structure of TbNd2YP4 (PBE, Alexandria).

Values from the calculation:
Theoretical density   5.6 g/cm3
Calculated total energy   -54.86 eV per cell

POSCAR file:
```
TbNd2YP4
1.0
7.0894 0.0000 0.0000
0.0000 4.0974 0.0000
-2.3638 0.0000 6.6873
Tb Nd Y P
1 2 1 4
direct
0.0000 0.0000 0.0000
0.5000 0.0000 0.5000
0.5000 0.5000 0.0000
0.0000 0.5000 0.5000
0.2412 0.0000 0.7468
0.2415 0.5000 0.2474
0.7585 0.5000 0.7526
0.7588 0.0000 0.2532
```


No. 9
# Tb2NdZrP4

A relaxed structure of Tb2NdZrP4 (PBE, Alexandria).

Values from the calculation:
Theoretical density   6.3 g/cm3
Calculated total energy   -56.28 eV per cell

POSCAR file:
```
Tb2NdZrP4
1.0
6.8879 0.0000 0.0000
0.0000 3.9798 0.0000
-2.2760 0.0000 6.5198
Tb Nd Zr P
2 1 1 4
direct
0.0000 0.0000 0.0000
0.0000 0.5000 0.5000
0.5000 0.0000 0.5000
0.5000 0.5000 0.0000
0.2510 0.5000 0.2374
0.2592 0.0000 0.7648
0.7408 0.0000 0.2352
0.7490 0.5000 0.7626
```


No. 10
# NdTcP

A relaxed structure of NdTcP (PBE, Alexandria).

Values from the calculation:
Theoretical density   6.4 g/cm3
Calculated total energy   -43.10 eV per cell

POSCAR file:
```
NdTcP
1.0
2.3616 1.3635 7.3688
-2.3616 1.3635 7.3688
0.0000 -2.7270 7.3688
Nd Tc P
2 2 2
direct
0.0921 0.0921 0.0921
0.9079 0.9079 0.9079
0.3240 0.3240 0.3240
0.6760 0.6760 0.6760
0.2209 0.2209 0.2209
0.7791 0.7791 0.7791
```


No. 11
# NdTc4P2

A relaxed structure of NdTc4P2 (PBE, Alexandria).

Values from the calculation:
Theoretical density   8.8 g/cm3
Calculated total energy   -61.93 eV per cell

POSCAR file:
```
NdTc4P2
1.0
2.0356 -6.8967 0.0000
2.0356 6.8967 0.0000
0.0000 0.0000 4.0356
Nd Tc P
1 4 2
direct
0.0000 0.0000 0.0000
0.1848 0.8152 0.5000
0.3076 0.6924 0.0000
0.6924 0.3076 0.0000
0.8152 0.1848 0.5000
0.4108 0.5892 0.5000
0.5892 0.4108 0.5000
```


No. 12
# NdTc3P3

A relaxed structure of NdTc3P3 (PBE, Alexandria).

Values from the calculation:
Theoretical density   6.6 g/cm3
Calculated total energy   -112.93 eV per cell

POSCAR file:
```
NdTc3P3
1.0
3.3512 1.9348 6.8392
-3.3512 1.9348 6.8392
0.0000 -3.8696 6.8392
Nd Tc P
2 6 6
direct
0.1660 0.1660 0.1660
0.8340 0.8340 0.8340
0.0027 0.3978 0.7305
0.2695 0.9973 0.6022
0.3978 0.7305 0.0027
0.6022 0.2695 0.9973
0.7305 0.0027 0.3978
0.9973 0.6022 0.2695
0.1176 0.7093 0.3906
0.2907 0.6094 0.8824
0.3906 0.1176 0.7093
0.6094 0.8824 0.2907
0.7093 0.3906 0.1176
0.8824 0.2907 0.6094
```


Computed calculated volume, in the same sequence as the records: 24.76; 24.54; 24.22; 23.04; 23.23; 23.45; 23.41; 24.28; 22.34; 23.73; 16.19; 19.00 Å³ per atom.
Computed total magnetization, in the same sequence as the records: 0.0; 0.0; 0.0; 0.0; 2.3; 0.0; 0.0; 0.0; 0.0; 0.0; 0.0; 0.0 μB per formula unit.